(1)
DFT (GGA-PBE) results for a relaxed structure of Rb2LaScBr6.

It has space group Fm-3m (No. 225), with a = 11.3785 Å, b = 11.3785 Å, c = 11.3785 Å, α = 90.00°, β = 90.00° and γ = 90.00°. The inequivalent atoms are Rb at (0.2500, 0.2500, 0.2500), La at (0.0000, 0.0000, 0.0000), Sc at (0.0000, 0.0000, 0.5000) and Br at (0.0000, 0.0000, 0.2598).

The value obtained for the volume is 1473 Å³ per cell. The calculation puts the energy at -3.93 eV per atom. Its total magnetization is 2.0 μB/f.u.

=====

(2)
DFT (GGA-PBE) results for a relaxed structure of RbLaSeBr2.

It has space group P4/mmm (No. 123), with a = 5.9736 Å, b = 5.9736 Å, c = 5.7353 Å, α = 90.00°, β = 90.00° and γ = 90.00°. The inequivalent atoms are Rb at (0.0000, 0.0000, 0.0000), La at (0.5000, 0.5000, 0.5000), Se at (0.5000, 0.5000, 0.0000) and Br at (0.0000, 0.5000, 0.5000).

The value obtained for the volume is 205 Å³ per cell. Its total magnetization is 0.0 μB/f.u. For the energy relative to the lowest polymorph listed for this composition, the calculation gives 0.0 meV per atom.

=====

(3)
DFT (GGA-PBE) results for a relaxed structure of Rb2LaSeBr6.

It has space group I4/mmm (No. 139), with a = 8.9593 Å, b = 8.9593 Å, c = 10.9927 Å, α = 90.00°, β = 90.00° and γ = 90.00°. The inequivalent atoms are Rb at (0.0000, 0.5000, 0.2500), La at (0.0000, 0.0000, 0.0000), Se at (0.0000, 0.0000, 0.5000), Br at (0.0000, 0.0000, 0.2688) and Br at (0.2288, 0.2288, 0.0000).

The value obtained for the volume is 882 Å³ per cell. The calculation puts the energy at -3.34 eV per atom. Its total magnetization is 1.0 μB/f.u.

=====

(4)
DFT (GGA-PBE) results for a relaxed structure of RbLaSeBr.

It has space group R3m (No. 160, hexagonal axes), with a = 4.3354 Å, b = 4.3354 Å, c = 25.3687 Å, α = 90.00°, β = 90.00° and γ = 120.00°. The inequivalent atoms are Rb at (0.0000, 0.0000, 0.0000), La at (0.0000, 0.0000, 0.1817), Se at (0.0000, 0.0000, 0.5802) and Br at (0.0000, 0.0000, 0.7690).

The value obtained for the volume is 413 Å³ per cell. The calculation puts the energy at -4.35 eV per atom. Its total magnetization is 0.0 μB/f.u.